VASP calculation (PBE) on a relaxed Mg4MnCu crystal.

Output
As for the energy relative to the elements: 0.4493 eV per atom. Its total energy is -2.825 eV/atom.

```
data_Mg4MnCu
_space_group_name_H-M_alt 'P 1'
_space_group_IT_number 1
_space_group_name_Hall 'P 1'
_cell_length_a 5.5541
_cell_length_b 5.5541
_cell_length_c 5.5541
_cell_angle_alpha 60.00
_cell_angle_beta 60.00
_cell_angle_gamma 60.00
loop_
_atom_site_label
_atom_site_fract_x
_atom_site_fract_y
_atom_site_fract_z
Mg1 0.1250 0.1250 0.1250
Mg2 0.1250 0.1250 0.6251
Mg3 0.1250 0.6251 0.1250
Mg4 0.6251 0.1250 0.1250
Mn1 0.7500 0.7500 0.7500
Cu1 0.5000 0.5000 0.5000
```